Record 1
K2MgB12H20O30 after structural relaxation. Source: the Alexandria database, functional PBEsol.

Cell: 7.5011 7.7552 10.7179 Å, 108.68 94.57 92.05°
Space group P-1 (No. 2)
Inequivalent atoms, fractional coordinates:
K: 0.2381 0.3651 0.3989 (multiplicity 2)
Mg: 0.5000 0.0000 0.0000 (multiplicity 1)
B: 0.0368 0.2425 0.9582 (multiplicity 2)
B: 0.1418 0.8403 0.5517 (multiplicity 2)
B: 0.1658 0.9830 0.7939 (multiplicity 2)
B: 0.3335 0.3024 0.8855 (multiplicity 2)
B: 0.3701 0.1071 0.6454 (multiplicity 2)
B: 0.3842 0.4375 0.7059 (multiplicity 2)
H: 0.1109 0.6799 0.3591 (multiplicity 2)
H: 0.1210 0.5638 0.9441 (multiplicity 2)
H: 0.1939 0.0262 0.1300 (multiplicity 2)
H: 0.2148 0.8069 0.8971 (multiplicity 2)
H: 0.2202 0.5328 0.1384 (multiplicity 2)
H: 0.3162 0.7180 0.2423 (multiplicity 2)
H: 0.3700 0.0167 0.2202 (multiplicity 2)
H: 0.3728 0.7051 0.7382 (multiplicity 2)
H: 0.3744 0.9414 0.4045 (multiplicity 2)
H: 0.4778 0.6372 0.9554 (multiplicity 2)
O: 0.0315 0.0635 0.8841 (multiplicity 2)
O: 0.0639 0.6978 0.4470 (multiplicity 2)
O: 0.0761 0.8644 0.6714 (multiplicity 2)
O: 0.0995 0.6967 0.9630 (multiplicity 2)
O: 0.1737 0.3659 0.9582 (multiplicity 2)
O: 0.2292 0.6122 0.2315 (multiplicity 2)
O: 0.2761 0.1346 0.7700 (multiplicity 2)
O: 0.2786 0.9549 0.5384 (multiplicity 2)
O: 0.2901 0.8826 0.8560 (multiplicity 2)
O: 0.3221 0.0721 0.1508 (multiplicity 2)
O: 0.3632 0.2718 0.6090 (multiplicity 2)
O: 0.3898 0.4510 0.8382 (multiplicity 2)
O: 0.3981 0.5900 0.6675 (multiplicity 2)
O: 0.4420 0.9256 0.3241 (multiplicity 2)
O: 0.4705 0.2541 0.9687 (multiplicity 2)

Results
Uncorrected energy: -6.640 eV/atom
Calculated volume: 587.5 Å³/cell

Record 2
CsLi2Te2 after structural relaxation. Source: the Alexandria database, functional PBEsol.

Cell: 4.8926 4.8926 12.3026 Å, 90.00 90.00 90.00°
Space group I4/mmm (No. 139)
Inequivalent atoms, fractional coordinates:
Cs: 0.0000 0.0000 0.0000 (multiplicity 2)
Li: 0.0000 0.5000 0.2500 (multiplicity 4)
Te: 0.0000 0.0000 0.3617 (multiplicity 4)

Results
Formation energy from raw total energies: -0.898 eV/atom
Calculated volume: 294.5 Å³/cell

Record 3
TaAl2Pt after structural relaxation. Source: the Alexandria database, functional PBEsol.

Cell: 4.0356 4.0356 3.7382 Å, 90.00 90.00 90.00°
Space group P4/mmm (No. 123)
Inequivalent atoms, fractional coordinates:
Ta: 0.0000 0.0000 0.0000 (multiplicity 1)
Al: 0.0000 0.5000 0.5000 (multiplicity 2)
Pt: 0.5000 0.5000 0.0000 (multiplicity 1)

Results
Calculated volume: 60.9 Å³/cell
Energy relative to the elements: -0.5818 eV per atom

Record 4
CdCoBr2 after structural relaxation. Source: the Alexandria database, functional PBEsol.

Cell: 3.7593 5.7737 8.3824 Å, 90.00 90.00 90.00°
Space group Cmm2 (No. 35)
Inequivalent atoms, fractional coordinates:
Cd: 0.0000 0.0000 0.0000 (multiplicity 2)
Co: 0.0000 0.5000 0.2289 (multiplicity 2)
Br: 0.0000 0.0000 0.3942 (multiplicity 2)
Br: 0.0000 0.5000 0.7762 (multiplicity 2)

Results
Excess energy over the best structure of this formula in the dataset: 115.8 meV/atom
Formation energy from raw total energies: 0.083 eV/atom
Calculated volume: 181.9 Å³/cell

Record 5
BaTcCI2 after structural relaxation. Source: the Alexandria database, functional PBEsol.

Cell: 6.6187 6.6187 5.0926 Å, 90.00 90.00 90.00°
Space group P4/mmm (No. 123)
Inequivalent atoms, fractional coordinates:
Ba: 0.0000 0.0000 0.0000 (multiplicity 1)
Tc: 0.5000 0.5000 0.5000 (multiplicity 1)
C: 0.0000 0.0000 0.5000 (multiplicity 1)
I: 0.0000 0.5000 0.0000 (multiplicity 2)

Results
Formation energy from raw total energies: 1.785 eV/atom
Calculated volume: 223.1 Å³/cell

Record 6
SrMgRe after structural relaxation. Source: the Alexandria database, functional PBEsol.

Cell: 2.8429 4.3572 10.5887 Å, 90.00 90.00 90.00°
Space group Imm2 (No. 44)
Inequivalent atoms, fractional coordinates:
Sr: 0.0000 0.0000 0.0000 (multiplicity 2)
Mg: 0.0000 0.0000 0.7113 (multiplicity 2)
Re: 0.0000 0.0000 0.3099 (multiplicity 2)

Results
Excess energy over the best structure of this formula in the dataset: 0.0 meV/atom
Calculated volume: 131.2 Å³/cell
Energy relative to the elements: 0.7910 eV per atom

Record 7
BaBe2InNi after structural relaxation. Source: the Alexandria database, functional PBEsol.

Cell: 4.5165 4.5165 5.3301 Å, 90.00 90.00 90.00°
Space group P4/mmm (No. 123)
Inequivalent atoms, fractional coordinates:
Ba: 0.0000 0.0000 0.0000 (multiplicity 1)
Be: 0.0000 0.5000 0.5000 (multiplicity 2)
In: 0.5000 0.5000 0.0000 (multiplicity 1)
Ni: 0.0000 0.0000 0.5000 (multiplicity 1)

Results
Calculated volume: 108.7 Å³/cell
Energy relative to the elements: 0.5626 eV per atom

Record 8
TmMn4Cu3O12 after structural relaxation. Source: the Alexandria database, functional PBEsol.

Cell: 7.1526 7.1526 7.1526 Å, 90.00 90.00 90.00°
Space group Im-3 (No. 204)
Inequivalent atoms, fractional coordinates:
Tm: 0.0000 0.0000 0.0000 (multiplicity 2)
Mn: 0.2500 0.2500 0.2500 (multiplicity 8)
Cu: 0.0000 0.0000 0.5000 (multiplicity 6)
O: 0.0000 0.1760 0.2968 (multiplicity 24)

Results
Formation energy from raw total energies: -1.632 eV/atom
Calculated volume: 365.9 Å³/cell

Record 9
Cs2NaMgZn after structural relaxation. Source: the Alexandria database, functional PBEsol.

Cell: 6.9763 6.9763 5.3603 Å, 90.00 90.00 90.00°
Space group P4/mmm (No. 123)
Inequivalent atoms, fractional coordinates:
Cs: 0.0000 0.5000 0.0000 (multiplicity 2)
Na: 0.0000 0.0000 0.5000 (multiplicity 1)
Mg: 0.5000 0.5000 0.5000 (multiplicity 1)
Zn: 0.5000 0.5000 0.0000 (multiplicity 1)

Results
Calculated volume: 260.9 Å³/cell
Energy relative to the elements: 0.2248 eV per atom

Record 10
SrSbCl after structural relaxation. Source: the Alexandria database, functional PBEsol.

Cell: 7.5392 7.5392 7.5392 Å, 90.00 90.00 90.00°
Space group F-43m (No. 216)
Inequivalent atoms, fractional coordinates:
Sr: 0.0000 0.0000 0.0000 (multiplicity 4)
Sb: 0.2500 0.2500 0.2500 (multiplicity 4)
Cl: 0.2500 0.2500 0.7500 (multiplicity 4)

Results
Excess energy over the best structure of this formula in the dataset: 0.0 meV/atom
Formation energy from raw total energies: -0.666 eV/atom
Calculated volume: 428.5 Å³/cell

Record 11
Li2PW after structural relaxation. Source: the Alexandria database, functional PBEsol.

Cell: 3.2806 3.9342 8.6416 Å, 90.00 90.00 90.00°
Space group Cmmm (No. 65)
Inequivalent atoms, fractional coordinates:
Li: 0.0000 0.0000 0.2234 (multiplicity 4)
P: 0.0000 0.5000 0.0000 (multiplicity 2)
W: 0.0000 0.5000 0.5000 (multiplicity 2)

Results
Calculated volume: 111.5 Å³/cell
Energy relative to the elements: 0.1147 eV per atom

Record 12
LaTa2Cu after structural relaxation. Source: the Alexandria database, functional PBEsol.

Cell: 6.5671 6.5671 6.5671 Å, 90.00 90.00 90.00°
Space group Fm-3m (No. 225)
Inequivalent atoms, fractional coordinates:
La: 0.0000 0.0000 0.0000 (multiplicity 4)
Ta: 0.2500 0.2500 0.2500 (multiplicity 8)
Cu: 0.0000 0.0000 0.5000 (multiplicity 4)

Results
Excess energy over the best structure of this formula in the dataset: 115.3 meV/atom
Calculated volume: 283.2 Å³/cell
Energy relative to the elements: 0.6949 eV per atom